Here is a relaxed Y4TePtSe2 crystal from Alexandria via LeMat-Bulk. Energies are from PBE-GGA.

a b c (Å): 7.3114 4.0944 7.3227
angles (deg): 90.00 108.69 90.00
Element x y z (fractional)
Y: 0.2373 0.0000 0.2249
Y: 0.2592 0.5000 0.7706
Y: 0.7408 0.5000 0.2294
Y: 0.7627 0.0000 0.7751
Te: 0.0000 0.0000 0.5000
Pt: 0.0000 0.5000 0.0000
Se: 0.5000 0.0000 0.0000
Se: 0.5000 0.5000 0.5000

Calculated values
As for the density: 6.69 g/cm3.



Here is a relaxed Th4PtSe4 crystal from Alexandria via LeMat-Bulk. Energies are from PBE-GGA.

a b c (Å): 7.4462 7.4462 10.4763
angles (deg): 118.93 118.93 32.50
Element x y z (fractional)
Th: 0.0875 0.0875 0.3968
Th: 0.2996 0.2996 0.2092
Th: 0.7004 0.7004 0.7908
Th: 0.9125 0.9125 0.6032
Pt: 0.5000 0.5000 0.5000
Se: 0.1100 0.1100 0.9039
Se: 0.3038 0.3038 0.6959
Se: 0.6962 0.6962 0.3041
Se: 0.8900 0.8900 0.0961

Calculated values
As for the density: 8.86 g/cm3.



Here is a relaxed Th6PtSe5 crystal from Alexandria via LeMat-Bulk. Energies are from PBE-GGA.

a b c (Å): 7.3273 7.3273 7.3082
angles (deg): 99.64 99.64 119.94
Element x y z (fractional)
Th: 0.0825 0.4074 0.7432
Th: 0.2438 0.2438 0.2499
Th: 0.4074 0.0825 0.7432
Th: 0.5926 0.9175 0.2568
Th: 0.7562 0.7562 0.7501
Th: 0.9175 0.5926 0.2568
Pt: 0.0000 0.0000 0.5000
Se: 0.1703 0.8297 0.0000
Se: 0.3340 0.6660 0.5000
Se: 0.5000 0.5000 0.0000
Se: 0.6660 0.3340 0.5000
Se: 0.8297 0.1703 0.0000

Calculated values
As for the density: 10.27 g/cm3.



Here is a relaxed Th6PtSe12 crystal from Alexandria via LeMat-Bulk. Energies are from PBE-GGA.

a b c (Å): 8.4013 8.4013 8.4013
angles (deg): 100.74 100.74 100.74
Element x y z (fractional)
Th: 0.1212 0.7904 0.6288
Th: 0.2096 0.3712 0.8788
Th: 0.3712 0.8788 0.2096
Th: 0.6288 0.1212 0.7904
Th: 0.7904 0.6288 0.1212
Th: 0.8788 0.2096 0.3712
Pt: 0.5000 0.5000 0.5000
Se: 0.0700 0.9268 0.3242
Se: 0.0732 0.6758 0.9300
Se: 0.1904 0.4397 0.5528
Se: 0.3242 0.0700 0.9268
Se: 0.4397 0.5528 0.1904
Se: 0.4472 0.8096 0.5603
Se: 0.5528 0.1904 0.4397
Se: 0.5603 0.4472 0.8096
Se: 0.6758 0.9300 0.0732
Se: 0.8096 0.5603 0.4472
Se: 0.9268 0.3242 0.0700
Se: 0.9300 0.0732 0.6758

Calculated values
As for the density: 7.55 g/cm3.



Number 1: volume 207.6 Å³/cell, ΔE_f (raw) -1.5034 eV per atom, final energy -6.7543 eV per atom. Number 2: volume 269.6 Å³/cell, ΔE_f (raw) -1.5270 eV per atom, final energy -7.0446 eV per atom. Number 3: volume 320.4 Å³/cell, ΔE_f (raw) -1.4868 eV per atom, final energy -7.1520 eV per atom. Number 4: volume 557.2 Å³/cell, ΔE_f (raw) -1.4897 eV per atom, final energy -6.3515 eV per atom.